Entry from the Alexandria database: a geometry-optimized ScGeI2O structure (PBE).

a b c (Å): 5.911 5.911 3.793
angles (deg): 90.00 90.00 90.00
Space group P4/mmm (No. 123)
Inequivalent atoms, fractional coordinates:
1 Sc 0.000 0.000 0.000
2 Ge 0.500 0.500 0.500
3 I 0.000 0.500 0.500
4 O 0.500 0.500 0.000

Results
The relative energy among the computed polymorphs comes out at 633 meV/atom. The value obtained for the total DFT energy (no corrections) is -4.14 eV/atom. As for the magnetic moment: 1.27 μB per cell. The value obtained for the energy relative to the elements, uncorrected is -0.34 eV/atom.